Version A
Compound: TlTcPO
Source: the Open Quantum Materials Database
Functional: PBE
Structure: optimized geometry

Output
space-group type	P4/nmm

Structure (extended XYZ):
```
8
Lattice="2.9577 -2.9577 0.0000 2.9577 2.9577 0.0000 0.0000 0.0000 7.4871" Properties=species:S:1:pos:R:3 pbc="T T T"
Tc 1.4789 -1.4789 3.7435
Tc 1.4789 1.4789 3.7435
P 2.9577 0.0000 2.6925
P 0.0000 0.0000 4.7946
O 1.4789 1.4789 0.0000
O 1.4789 -1.4789 0.0000
Tl 2.9577 0.0000 6.4268
Tl 0.0000 0.0000 1.0603
```

---

Version B
Compound: TlTcPO
Source: the Open Quantum Materials Database
Functional: PBE
Structure: optimized geometry

Output
space-group type	Pmc2_1

Structure (extended XYZ):
```
8
Lattice="-0.0891 -2.4573 -2.0560 3.8452 -3.5770 4.1083 -5.9757 -2.5820 3.3449" Properties=species:S:1:pos:R:3 pbc="T T T"
Tl -2.7066 -3.3095 1.5743
Tl 2.7603 -4.3245 2.5504
Tc -4.2222 -4.1934 5.1947
Tc -0.8670 -3.2440 3.9146
P -4.9028 -4.3970 2.9692
P 0.3606 -5.2228 3.7280
O -2.4244 -3.8692 4.7294
O 0.2662 -2.3017 2.7394
```

---

Verdict on stability: version B comes out on top.

---

Version A
Compound: ZnTcPO
Source: the Open Quantum Materials Database
Functional: PBE
Structure: optimized geometry

Output
space-group type	P4/nmm

Structure (extended XYZ):
```
8
Lattice="-0.9842 -3.2430 0.0735 2.8036 -0.8890 -1.6853 4.3481 -1.1421 7.8356" Properties=species:S:1:pos:R:3 pbc="T T T"
O 0.9097 -2.0660 -0.8059
O 0.0000 0.0000 0.0000
Tc 3.2337 -2.6001 6.7510
Tc 2.0241 -0.6080 0.2787
P 0.6870 -1.9312 2.1616
P 4.5707 -1.2769 4.8681
Zn 2.1740 -0.5711 3.9178
Zn 3.0837 -2.6371 3.1119
```

---

Version B
Compound: ZnTcPO
Source: the Open Quantum Materials Database
Functional: PBE
Structure: optimized geometry

Output
space-group type	P4/nmm

Structure (extended XYZ):
```
8
Lattice="4.0367 0.0000 0.0000 0.0000 4.0367 0.0000 0.0000 0.0000 8.1173" Properties=species:S:1:pos:R:3 pbc="T T T"
Tc 0.0000 0.0000 4.0587
Tc 2.0183 2.0183 4.0587
Zn 0.0000 2.0183 0.1831
Zn 2.0183 0.0000 7.9343
O 2.0183 2.0183 0.0000
O 0.0000 0.0000 0.0000
P 2.0183 0.0000 2.9069
P 0.0000 2.0183 5.2104
```

---

Verdict on stability: version B comes out on top.

---

Version A
Compound: ZnTcPO
Source: the Open Quantum Materials Database
Functional: PBE
Structure: optimized geometry

Output
space-group type	Pmc2_1

Structure (extended XYZ):
```
8
Lattice="4.0008 0.0000 0.0000 0.0000 4.8306 0.0000 0.0000 0.0000 5.5874" Properties=species:S:1:pos:R:3 pbc="T T T"
P 2.0004 1.6531 1.8595
P 2.0004 3.1775 4.6532
Zn 0.0000 1.2142 3.1253
Zn 0.0000 3.6164 0.3316
Tc 2.0004 4.0577 2.4461
Tc 2.0004 0.7729 5.2398
O 0.0000 4.0192 2.3694
O 0.0000 0.8113 5.1631
```

---

Version B
Compound: ZnTcPO
Source: the Open Quantum Materials Database
Functional: PBE
Structure: optimized geometry

Output
space-group type	Pmc2_1

Structure (extended XYZ):
```
8
Lattice="-2.1810 -1.3869 -1.5663 4.3722 -2.6052 -3.7812 0.3508 -4.5511 3.5412" Properties=species:S:1:pos:R:3 pbc="T T T"
P -0.1023 -2.9085 -0.1979
P 2.7317 -6.7682 -0.7265
O 1.3793 -4.6166 2.1671
O 3.4307 -3.6679 -1.5293
Tc 4.5894 -5.4449 -1.5693
Tc 0.0453 -0.5663 0.4383
Zn 1.4956 -3.8902 -1.5537
Zn 1.1385 -5.8484 0.6775
```

---

Verdict on stability: version B comes out on top.

---

Version A
Compound: TmTePO
Source: the Open Quantum Materials Database
Functional: PBE
Structure: optimized geometry

Output
space-group type	Pmc2_1

Structure (extended XYZ):
```
8
Lattice="3.6370 0.0000 0.0000 0.0000 7.3132 0.0000 0.0000 0.0000 7.8027" Properties=species:S:1:pos:R:3 pbc="T T T"
Tm 1.8185 5.5716 3.8402
Tm 1.8185 1.7416 7.7416
P 1.8185 3.2385 2.3417
P 1.8185 4.0747 6.2430
O 0.0000 0.8931 7.3536
O 0.0000 6.4201 3.4522
Te 0.0000 4.7409 0.1504
Te 0.0000 2.5723 4.0518
```

---

Version B
Compound: TmTePO
Source: the Open Quantum Materials Database
Functional: PBE
Structure: optimized geometry

Output
space-group type	P4/nmm

Structure (extended XYZ):
```
8
Lattice="-2.9141 0.3489 -4.7187 -0.0146 -5.5425 -0.4008 -4.3009 -0.1798 2.6428" Properties=species:S:1:pos:R:3 pbc="T T T"
Tm -2.8899 -4.1595 -0.1589
Tm -4.3397 -1.2138 -2.3178
P -2.8783 -1.3881 0.0389
P -4.3512 -3.9852 -2.5156
O -0.7395 -4.0696 -1.4803
O -2.1892 -1.1239 -3.6392
Te -5.0321 -1.4781 1.3623
Te -2.1974 -3.8952 -3.8391
```

---

Verdict on stability: version A comes out on top.

---

Version A
Compound: TmTePO
Source: the Open Quantum Materials Database
Functional: PBE
Structure: optimized geometry

Output
space-group type	P4/nmm

Structure (extended XYZ):
```
8
Lattice="2.8350 -2.8350 0.0000 2.8350 2.8350 0.0000 0.0000 0.0000 10.1150" Properties=species:S:1:pos:R:3 pbc="T T T"
Te 2.8350 1.4175 5.0575
Te 2.8350 -1.4175 5.0575
P 1.4175 0.0000 7.4169
P 4.2525 0.0000 2.6981
O 2.8350 -1.4175 0.0000
O 2.8350 1.4175 0.0000
Tm 4.2525 0.0000 9.1165
Tm 1.4175 0.0000 0.9985
```

---

Version B
Compound: TmTePO
Source: the Open Quantum Materials Database
Functional: PBE
Structure: optimized geometry

Output
space-group type	Pmc2_1

Structure (extended XYZ):
```
8
Lattice="-2.6958 -0.9373 4.2285 4.3677 -5.6255 1.5376 3.6296 3.6731 3.1281" Properties=species:S:1:pos:R:3 pbc="T T T"
Tm 4.6271 -2.0627 2.4927
Tm 4.9440 1.7030 3.5294
O 2.9371 -1.6297 1.5112
O 5.1178 -0.2644 3.2041
Te 2.4488 -4.9060 3.5511
Te 1.4315 0.5781 4.1182
P 2.9220 2.1715 5.4216
P 4.0132 -3.4080 4.8805
```

---

Verdict on stability: version B comes out on top.

---

Version A
Compound: ZrTePO
Source: the Open Quantum Materials Database
Functional: PBE
Structure: optimized geometry

Output
space-group type	P4/nmm

Structure (extended XYZ):
```
8
Lattice="-1.4195 1.1948 3.3981 -3.4477 -1.5083 -0.9099 2.7359 -8.8124 4.2414" Properties=species:S:1:pos:R:3 pbc="T T T"
P 0.8719 -6.8062 3.8601
P -3.0032 -2.3197 2.8694
Te -0.5586 -3.8872 4.4418
Te -1.5727 -5.2387 2.2878
Zr -0.9151 -1.0502 1.0898
Zr -1.2162 -8.0757 5.6398
O -1.9266 0.5190 2.3211
O -2.9406 -0.8325 0.1671
```

---

Version B
Compound: ZrTePO
Source: the Open Quantum Materials Database
Functional: PBE
Structure: optimized geometry

Output
space-group type	P4/nmm

Structure (extended XYZ):
```
8
Lattice="3.5595 -3.5595 0.0000 3.5595 3.5595 0.0000 0.0000 0.0000 5.3475" Properties=species:S:1:pos:R:3 pbc="T T T"
Zr 3.5595 1.7797 2.6737
Zr 3.5595 -1.7797 2.6737
O 3.5595 1.7797 0.0000
O 3.5595 -1.7797 0.0000
Te 1.7797 0.0000 0.6236
Te 5.3392 0.0000 4.7239
P 1.7797 0.0000 3.4441
P 5.3392 0.0000 1.9034
```

---

Version C
Compound: ZrTePO
Source: the Open Quantum Materials Database
Functional: PBE
Structure: optimized geometry

Output
space-group type	Pmc2_1

Structure (extended XYZ):
```
8
Lattice="-3.3126 -0.3531 0.8213 -1.7025 -2.3482 -7.8764 1.0437 -6.0915 1.5905" Properties=species:S:1:pos:R:3 pbc="T T T"
Zr -2.4450 -4.5463 -4.6491
Zr -1.1387 -6.5101 -0.2245
P -1.7960 -6.4135 -2.8343
P -2.0657 -3.0200 -2.4630
Te -1.2571 -1.8489 -5.8654
Te 0.1083 -3.7311 -1.1672
O -0.2728 -0.3786 -1.2629
O -0.9072 -5.0192 -5.8172
```

---

Version D
Compound: ZrTePO
Source: the Open Quantum Materials Database
Functional: PBE
Structure: optimized geometry

Output
space-group type	Pmc2_1

Structure (extended XYZ):
```
8
Lattice="4.3196 0.0000 0.0000 0.0000 8.0577 0.0000 0.0000 0.0000 5.7610" Properties=species:S:1:pos:R:3 pbc="T T T"
Te 2.1598 1.5124 3.4174
Te 2.1598 6.5452 0.5369
O 0.0000 4.3347 4.1196
O 0.0000 3.7230 1.2391
Zr 0.0000 2.7415 5.3131
Zr 0.0000 5.3162 2.4326
P 2.1598 1.3339 0.1353
P 2.1598 6.7238 3.0158
```

---

Verdict on stability: version D comes out on top.

---

Version A
Compound: TlZnPO
Source: the Open Quantum Materials Database
Functional: PBE
Structure: optimized geometry

Output
space-group type	Pmc2_1

Structure (extended XYZ):
```
8
Lattice="3.8957 0.0000 0.0000 0.0000 6.2956 0.0000 0.0000 0.0000 6.2813" Properties=species:S:1:pos:R:3 pbc="T T T"
Tl 0.0000 1.0489 3.3566
Tl 0.0000 5.2467 0.2159
O 0.0000 1.1182 5.6342
O 0.0000 5.1774 2.4936
P 1.9479 2.1351 2.1876
P 1.9479 4.1605 5.3282
Zn 1.9479 1.9275 6.1204
Zn 1.9479 4.3681 2.9798
```

---

Version B
Compound: TlZnPO
Source: the Open Quantum Materials Database
Functional: PBE
Structure: optimized geometry

Output
space-group type	P4/nmm

Structure (extended XYZ):
```
8
Lattice="4.2304 0.0000 0.0000 0.0000 4.2304 0.0000 0.0000 0.0000 9.0192" Properties=species:S:1:pos:R:3 pbc="T T T"
Tl 0.0000 0.0000 4.5096
Tl 2.1152 2.1152 4.5096
P 0.0000 2.1152 6.2098
P 2.1152 0.0000 2.8094
O 2.1152 2.1152 0.0000
O 0.0000 0.0000 0.0000
Zn 2.1152 0.0000 0.2383
Zn 0.0000 2.1152 8.7809
```

---

Verdict on stability: version A comes out on top.

---

Version A
Compound: ZrTlPO
Source: the Open Quantum Materials Database
Functional: PBE
Structure: optimized geometry

Output
space-group type	P4/nmm

Structure (extended XYZ):
```
8
Lattice="3.8340 0.0000 0.0000 0.0000 3.8340 0.0000 0.0000 0.0000 10.1453" Properties=species:S:1:pos:R:3 pbc="T T T"
Zr 1.9170 0.0000 8.9964
Zr 0.0000 1.9170 1.1489
Tl 0.0000 0.0000 5.0727
Tl 1.9170 1.9170 5.0727
P 1.9170 0.0000 2.4495
P 0.0000 1.9170 7.6958
O 1.9170 1.9170 0.0000
O 0.0000 0.0000 0.0000
```

---

Version B
Compound: ZrTlPO
Source: the Open Quantum Materials Database
Functional: PBE
Structure: optimized geometry

Output
space-group type	Pmc2_1

Structure (extended XYZ):
```
8
Lattice="-1.9989 2.8973 1.1170 -6.0114 -5.6720 3.9546 2.8038 0.1875 4.5310" Properties=species:S:1:pos:R:3 pbc="T T T"
P -1.9674 -0.5359 3.9737
P -2.1972 -1.9817 7.3126
Tl 0.4817 -0.6421 2.5275
Tl -2.5894 -4.7689 7.7356
Zr -0.5337 -0.4126 6.2198
Zr -3.6296 -2.1048 5.0687
O -3.2165 -4.1067 4.8957
O 1.0520 -1.3081 5.2755
```

---

Version C
Compound: ZrTlPO
Source: the Open Quantum Materials Database
Functional: PBE
Structure: optimized geometry

Output
space-group type	P4/nmm

Structure (extended XYZ):
```
8
Lattice="-2.4562 -2.7839 3.7069 3.9264 -3.4797 -0.0116 2.3866 2.6810 3.5948" Properties=species:S:1:pos:R:3 pbc="T T T"
Tl 0.9522 1.0573 5.1375
Tl 2.1695 -1.5081 0.3049
Zr 1.1933 1.3405 1.7974
Zr 1.9284 -1.7913 3.6451
P 3.3978 -0.1282 2.1551
P -0.2762 -0.3226 3.2873
O 0.0000 0.0000 0.0000
O 0.7351 -3.1318 1.8477
```

---

Verdict on stability: version B comes out on top.